Record 1
A plane-wave DFT calculation with PBE was carried out for a geometry-optimized YInSbF2 structure.

The calculated density is 4.9 g/cm3. Its formation energy from raw total energies is -213.0 kJ per mole of atoms. The calculation puts the calculated total energy at -28.11 eV per cell.

Geometry as CIF:
```
data_YInSbF2
_space_group_name_H-M_alt 'P 4/m m m'
_space_group_IT_number 123
_space_group_name_Hall '-P 4 2'
_cell_length_a 4.4051
_cell_length_b 4.4051
_cell_length_c 6.3719
_cell_angle_alpha 90.00
_cell_angle_beta 90.00
_cell_angle_gamma 90.00
loop_
_atom_site_label
_atom_site_type_symbol
_atom_site_fract_x
_atom_site_fract_y
_atom_site_fract_z
Y1 Y 0.0000 0.0000 0.0000
In1 In 0.5000 0.5000 0.5000
Sb1 Sb 0.0000 0.0000 0.5000
F1 F 0.0000 0.5000 0.0000
```

Record 2
A plane-wave DFT calculation with PBE was carried out for a geometry-optimized Tc2HgW structure.

The calculated density is 14.7 g/cm3. As for the formation energy: 778 meV/atom. The calculation puts the calculated total energy at -123.50 eV per cell.

Geometry as CIF:
```
data_Tc2HgW
_space_group_name_H-M_alt 'F -4 3 m'
_space_group_IT_number 216
_space_group_name_Hall 'F -4 2 3'
_cell_length_a 6.4035
_cell_length_b 6.4035
_cell_length_c 6.4035
_cell_angle_alpha 90.00
_cell_angle_beta 90.00
_cell_angle_gamma 90.00
loop_
_atom_site_label
_atom_site_type_symbol
_atom_site_fract_x
_atom_site_fract_y
_atom_site_fract_z
Tc1 Tc 0.0000 0.0000 0.0000
Tc2 Tc 0.2500 0.2500 0.2500
Hg1 Hg 0.2500 0.2500 0.7500
W1 W 0.0000 0.0000 0.5000
```

Record 3
A plane-wave DFT calculation with PBE was carried out for a geometry-optimized LaSm12Y6 structure.

The calculated density is 6.2 g/cm3. For the excess energy over the best structure of this formula in the dataset, the calculation gives 55 meV/atom. As for the formation energy: 195 meV/atom. The calculation puts the calculated total energy at -289.90 eV per cell.

Geometry as CIF:
```
data_LaSm12Y6
_space_group_name_H-M_alt 'R -3 m'
_space_group_IT_number 166
_space_group_name_Hall '-R 3 2"'
_cell_length_a 13.4671
_cell_length_b 13.4671
_cell_length_c 12.6469
_cell_angle_alpha 90.00
_cell_angle_beta 90.00
_cell_angle_gamma 120.00
loop_
_atom_site_label
_atom_site_type_symbol
_atom_site_fract_x
_atom_site_fract_y
_atom_site_fract_z
La1 La 0.0000 0.0000 0.0000
Sm1 Sm 0.0000 0.2569 0.5000
Sm2 Sm 0.0917 0.1834 0.2621
Y1 Y 0.0385 0.5193 0.6220
```